Entry 1:
Ac4AsSe3: relaxed, GGA-PBE.

Summary:
The energy above the most stable polymorph in this dataset comes out at 2.7 meV per atom. For the magnetic moment, the calculation gives 0.000 μB per atom. The value obtained for the volume is 255.2 Å³ per cell. The value obtained for the formation energy without anion corrections is -1.804 eV per atom. For the electronic total energy, the calculation gives -5.747 eV per atom. The space group is Pm-3m, No. 221.

Geometry as CIF:
```
data_Ac4AsSe3
_chemical_formula_sum 'Ac4 As1 Se3'
_symmetry_space_group_name_H-M 'P 1'
_symmetry_Int_Tables_number 1
_symmetry_space_group_name_Hall 'P 1'
_cell_length_a 6.3432
_cell_length_b 6.3432
_cell_length_c 6.3432
_cell_angle_alpha 90.00
_cell_angle_beta 90.00
_cell_angle_gamma 90.00
loop_
_atom_site_label
_atom_site_fract_x
_atom_site_fract_y
_atom_site_fract_z
_atom_site_occupancy
Ac1 0.0000 0.0000 0.0000 1
Ac2 0.0000 0.5000 0.5000 1
Ac3 0.5000 0.0000 0.5000 1
Ac4 0.5000 0.5000 0.0000 1
As1 0.5000 0.5000 0.5000 1
Se1 0.0000 0.0000 0.5000 1
Se2 0.0000 0.5000 0.0000 1
Se3 0.5000 0.0000 0.0000 1
```


Entry 2:
Cs4CoI7: relaxed, GGA-PBE.

Summary:
For the magnetic moment, the calculation gives 0.231 μB per atom. The value obtained for the volume is 678.2 Å³ per cell. The value obtained for the formation energy without anion corrections is -0.951 eV per atom. For the electronic total energy, the calculation gives -2.732 eV per atom. The space group is C2/m, No. 12.

Geometry as CIF:
```
data_Cs4CoI7
_chemical_formula_sum 'Cs4 Co1 I7'
_symmetry_space_group_name_H-M 'P 1'
_symmetry_Int_Tables_number 1
_symmetry_space_group_name_Hall 'P 1'
_cell_length_a 10.4292
_cell_length_b 10.4292
_cell_length_c 12.6156
_cell_angle_alpha 118.34
_cell_angle_beta 118.34
_cell_angle_gamma 34.73
loop_
_atom_site_label
_atom_site_fract_x
_atom_site_fract_y
_atom_site_fract_z
_atom_site_occupancy
Cs1 0.0498 0.0498 0.2374 1
Cs2 0.2160 0.2160 0.7995 1
Cs3 0.7840 0.7840 0.2005 1
Cs4 0.9502 0.9502 0.7626 1
Co1 0.5000 0.5000 0.5000 1
I1 0.0000 0.0000 0.5000 1
I2 0.1528 0.1528 0.0512 1
I3 0.2596 0.2596 0.5124 1
I4 0.4372 0.4372 0.2696 1
I5 0.5628 0.5628 0.7304 1
I6 0.7404 0.7404 0.4876 1
I7 0.8472 0.8472 0.9488 1
```


Entry 3:
LiFeGeMo: relaxed, GGA-PBE.

Summary:
For the magnetic moment, the calculation gives 0.000 μB per atom. The value obtained for the volume is 199.2 Å³ per cell. The formation energy is -0.22 eV per formula unit. For the electronic total energy, the calculation gives -6.511 eV per atom. The space group is F-43m, No. 216.

Geometry as CIF:
```
data_LiFeGeMo
_chemical_formula_sum 'Li4 Fe4 Ge4 Mo4'
_symmetry_space_group_name_H-M 'P 1'
_symmetry_Int_Tables_number 1
_symmetry_space_group_name_Hall 'P 1'
_cell_length_a 5.8401
_cell_length_b 5.8401
_cell_length_c 5.8401
_cell_angle_alpha 90.00
_cell_angle_beta 90.00
_cell_angle_gamma 90.00
loop_
_atom_site_label
_atom_site_fract_x
_atom_site_fract_y
_atom_site_fract_z
_atom_site_occupancy
Li1 0.0000 0.0000 0.0000 1
Li2 0.0000 0.5000 0.5000 1
Li3 0.5000 0.0000 0.5000 1
Li4 0.5000 0.5000 0.0000 1
Fe1 0.0000 0.0000 0.5000 1
Fe2 0.0000 0.5000 0.0000 1
Fe3 0.5000 0.0000 0.0000 1
Fe4 0.5000 0.5000 0.5000 1
Ge1 0.2500 0.2500 0.7500 1
Ge2 0.2500 0.7500 0.2500 1
Ge3 0.7500 0.2500 0.2500 1
Ge4 0.7500 0.7500 0.7500 1
Mo1 0.2500 0.2500 0.2500 1
Mo2 0.2500 0.7500 0.7500 1
Mo3 0.7500 0.2500 0.7500 1
Mo4 0.7500 0.7500 0.2500 1
```


Entry 4:
Hf2TaCu2: relaxed, GGA-PBE.

Summary:
The energy above the most stable polymorph in this dataset comes out at 213.6 meV per atom. For the magnetic moment, the calculation gives 0.000 μB per atom. The value obtained for the volume is 184.1 Å³ per cell. The formation energy is 1.14 eV per formula unit. For the electronic total energy, the calculation gives -7.763 eV per atom. The space group is I4/mmm, No. 139.

Geometry as CIF:
```
data_Hf2TaCu2
_chemical_formula_sum 'Hf4 Ta2 Cu4'
_symmetry_space_group_name_H-M 'P 1'
_symmetry_Int_Tables_number 1
_symmetry_space_group_name_Hall 'P 1'
_cell_length_a 3.2617
_cell_length_b 3.2617
_cell_length_c 17.3032
_cell_angle_alpha 90.00
_cell_angle_beta 90.00
_cell_angle_gamma 90.00
loop_
_atom_site_label
_atom_site_fract_x
_atom_site_fract_y
_atom_site_fract_z
_atom_site_occupancy
Hf1 0.0000 0.0000 0.1100 1
Hf2 0.0000 0.0000 0.8900 1
Hf3 0.5000 0.5000 0.3900 1
Hf4 0.5000 0.5000 0.6100 1
Ta1 0.0000 0.0000 0.5000 1
Ta2 0.5000 0.5000 0.0000 1
Cu1 0.0000 0.5000 0.2500 1
Cu2 0.0000 0.5000 0.7500 1
Cu3 0.5000 0.0000 0.2500 1
Cu4 0.5000 0.0000 0.7500 1
```